# Pr3Ga

A relaxed Pr3Ga crystal (PBE-GGA, Alexandria).

```
Pr3Ga
1.0
4.814 0.000 0.000
0.000 4.814 0.000
-2.407 -2.407 5.086
Pr Ga
3 1
direct
0.750 0.250 0.500
0.250 0.750 0.500
0.500 0.500 0.000
0.000 0.000 0.000
```

Output
Space-group type = No. 139
Magnetic moment = 0.0 μB/f.u.
Final energy = -4.553 eV/atom

***

# YOs2Au

A relaxed YOs2Au crystal (PBE-GGA, Alexandria).

```
YOs2Au
1.0
4.875 0.000 0.000
0.000 3.263 -0.002
0.000 0.262 4.775
Au Os Y
1 2 1
direct
0.500 0.750 0.750
0.000 0.877 0.006
0.000 0.623 0.494
0.500 0.250 0.250
```

Output
Space-group type = No. 10
Magnetic moment = 0.0 μB/f.u.
Final energy = -7.763 eV/atom

***

# TlReO4

A relaxed TlReO4 crystal (PBE-GGA, Alexandria).

```
TlReO4
1.0
-0.358 5.981 -2.677
2.852 -2.976 -7.030
-8.654 -1.756 -2.768
Tl Re O
4 4 16
direct
0.250 0.178 0.183
0.750 0.822 0.817
0.250 0.322 0.683
0.750 0.678 0.317
0.750 0.321 0.943
0.250 0.821 0.557
0.750 0.179 0.443
0.250 0.679 0.057
0.250 0.919 0.388
0.750 0.081 0.612
0.471 0.801 0.072
0.250 0.531 0.195
0.750 0.419 0.112
0.029 0.801 0.072
0.250 0.581 0.888
0.971 0.301 0.428
0.971 0.199 0.928
0.750 0.031 0.305
0.029 0.699 0.572
0.750 0.469 0.805
0.529 0.199 0.928
0.250 0.969 0.695
0.471 0.699 0.572
0.529 0.301 0.428
```

Output
Space-group type = No. 62
Magnetic moment = 0.0 μB/f.u.
E_form (uncorrected) = -1520.6 meV/atom

***

# TmTh3In12

A relaxed TmTh3In12 crystal (PBE-GGA, Alexandria).

```
TmTh3In12
1.0
4.721 0.000 0.000
0.000 4.721 0.000
0.000 0.000 18.726
Tm Th In
1 3 12
direct
0.000 0.000 0.000
0.000 0.000 0.246
0.000 0.000 0.500
0.000 0.000 0.754
0.500 0.500 0.000
0.500 0.500 0.247
0.500 0.500 0.500
0.500 0.500 0.753
0.500 0.000 0.119
0.500 0.000 0.373
0.500 0.000 0.627
0.500 0.000 0.881
0.000 0.500 0.119
0.000 0.500 0.373
0.000 0.500 0.627
0.000 0.500 0.881
```

Output
Space-group type = No. 123
Magnetic moment = 0.0 μB/f.u.
Final energy = -4.076 eV/atom

***

# CePuTeBr

A relaxed CePuTeBr crystal (PBE-GGA, Alexandria).

```
CePuTeBr
1.0
-3.562 -1.433 3.734
-1.292 -5.160 0.628
1.615 -2.653 4.364
Te Br Ce Pu
1 1 1 1
direct
0.250 0.250 0.250
0.750 0.750 0.750
0.500 0.500 0.500
0.000 0.000 0.000
```

Output
Space-group type = No. 216
Magnetic moment = 8.6 μB/f.u.
E_form (uncorrected) = -1029.3 meV/atom

***

# TlFeAs2Br

A relaxed TlFeAs2Br crystal (PBE-GGA, Alexandria).

```
TlFeAs2Br
1.0
4.543 0.000 0.000
0.000 4.543 0.000
0.000 0.000 6.399
Tl As Br Fe
1 2 1 1
direct
0.500 0.500 0.500
0.000 0.500 0.000
0.500 0.000 0.000
0.000 0.000 0.500
0.000 0.000 0.000
```

Output
Space-group type = No. 123
Magnetic moment = 1.8 μB/f.u.
E_form (uncorrected) = 94.6 meV/atom

***

# Pu4GeRu

A relaxed Pu4GeRu crystal (PBE-GGA, Alexandria).

```
Pu4GeRu
1.0
-2.596 -0.721 5.472
-4.105 -4.827 -2.584
4.636 -4.783 1.569
Pu Ge Ru
8 2 2
direct
0.000 0.169 0.653
0.000 0.831 0.347
0.000 0.347 0.169
0.000 0.653 0.831
0.500 0.831 0.653
0.500 0.169 0.347
0.500 0.653 0.169
0.500 0.347 0.831
0.250 0.000 0.000
0.750 0.000 0.000
0.250 0.500 0.500
0.750 0.500 0.500
```

Output
Space-group type = No. 124
Magnetic moment = 22.9 μB/f.u.
Final energy = -11.997 eV/atom

***

# EuTaN2

A relaxed EuTaN2 crystal (PBE-GGA, Alexandria).

```
EuTaN2
1.0
-1.683 -1.965 -1.182
1.768 -2.046 0.883
-3.079 -0.448 5.128
Eu N Ta
1 2 1
direct
0.500 0.500 0.500
0.000 0.000 0.793
0.000 0.000 0.207
0.500 0.500 0.000
```

Output
Space-group type = No. 123
Magnetic moment = 6.8 μB/f.u.
E_form (uncorrected) = -386.2 meV/atom